1.
Material: ReAgPt2
Method: DFT, PBE
State: relaxed

Unit cell a=3.9409 b=2.7945 c=6.3758 alpha=63.86 beta=90.00 gamma=90.00
With the nearest neighbours (Å) after each atom.
Atoms (fractional coordinates):
1 Pt 0.0000 0.9845 0.0171  3 Pt 2.67-2.79, 4 Re 2.76, 4 Ag 2.85-2.86
2 Re 0.5000 0.2500 0.2500  8 Pt 2.76, 2 Re 2.79, 2 Ag 2.86
3 Pt 0.0000 0.5155 0.4829  3 Pt 2.67-2.79, 4 Re 2.76, 4 Ag 2.85-2.86
4 Ag 0.5000 0.7500 0.7500  2 Ag 2.79, 8 Pt 2.85-2.86, 2 Re 2.86

## Properties
The calculated density comes out at 18026 kg/m3. The energy above the most stable polymorph in this dataset comes out at 179 meV/atom. The space group is No. 10.

2.
Material: ReAgPt2
Method: DFT, PBE
State: relaxed

Unit cell a=6.2824 b=6.2824 c=6.2824 alpha=154.88 beta=138.84 gamma=48.84
With the nearest neighbours (Å) after each atom.
Atoms (fractional coordinates):
1 Pt 0.9591 0.9591 0.0000  4 Re 2.71, 2 Pt 2.73, 2 Ag 2.87
2 Ag 0.2988 0.7988 0.5000  2 Ag 2.73, 6 Pt 2.77-2.87, 2 Re 2.94
3 Pt 0.7154 0.2154 0.5000  2 Re 2.56, 2 Pt 2.73, 4 Ag 2.77
4 Re 0.5267 0.5267 0.0000  6 Pt 2.56-2.71, 2 Re 2.73

## Properties
The calculated density comes out at 16456 kg/m3. The energy above the most stable polymorph in this dataset comes out at 272 meV/atom. The space group is No. 44.

3.
Material: ReAgPt2
Method: DFT, PBE
State: relaxed

Unit cell a=4.7875 b=4.7875 c=5.0446 alpha=81.91 beta=81.91 gamma=33.47
With the nearest neighbours (Å) after each atom.
Atoms (fractional coordinates):
1 Pt 0.0061 0.0061 0.9858  3 Re 2.74-2.78, 6 Pt 2.76-2.99, 3 Ag 2.77-2.88
2 Re 0.7500 0.7500 0.7500  6 Pt 2.74-2.78, 2 Re 2.76, 4 Ag 2.87
3 Ag 0.2500 0.2500 0.2500  2 Ag 2.76, 6 Pt 2.77-2.88, 4 Re 2.87
4 Pt 0.4939 0.4939 0.5142  3 Re 2.74-2.78, 6 Pt 2.76-2.99, 3 Ag 2.77-2.88

## Properties
The calculated density comes out at 18013 kg/m3. The energy above the most stable polymorph in this dataset comes out at 284 meV/atom. The space group is No. 12.

4.
Material: Re2AgPt
Method: DFT, PBE
State: relaxed

Unit cell a=2.7051 b=2.7051 c=8.5203 alpha=90.00 beta=90.00 gamma=90.01
With the nearest neighbours (Å) after each atom.
Atoms (fractional coordinates):
1 Re 0.0000 0.0000 0.9905  4 Re 2.71, 4 Pt 2.80, 4 Ag 2.92
2 Ag 0.5000 0.5000 0.2500  4 Ag 2.71, 8 Re 2.92
3 Pt 0.5000 0.5000 0.7500  4 Pt 2.71, 8 Re 2.80
4 Re 0.0000 0.0000 0.5095  4 Re 2.71, 4 Pt 2.80, 4 Ag 2.92

## Properties
The calculated density comes out at 17987 kg/m3. The energy above the most stable polymorph in this dataset comes out at 322 meV/atom. The space group is No. 123.

5.
Material: Re2AgPt
Method: DFT, PBE
State: relaxed

Unit cell a=3.8246 b=3.8302 c=4.2442 alpha=90.00 beta=90.00 gamma=90.00
With the nearest neighbours (Å) after each atom.
Atoms (fractional coordinates):
1 Pt 0.0000 0.5000 0.5000  4 Ag 2.71, 8 Re 2.86
2 Ag 0.5000 0.0000 0.5000  4 Pt 2.71, 8 Re 2.86
3 Re 0.0000 0.0000 0.0000  4 Re 2.71, 4 Ag 2.86, 4 Pt 2.86
4 Re 0.5000 0.5000 0.0000  4 Re 2.71, 4 Pt 2.86, 4 Ag 2.86

## Properties
The calculated density comes out at 18038 kg/m3. The energy above the most stable polymorph in this dataset comes out at 385 meV/atom. The space group is No. 123.

6.
Material: ReAgPt2
Method: DFT, PBE
State: relaxed

Unit cell a=9.5012 b=9.5012 c=9.5012 alpha=16.90 beta=16.90 gamma=16.90
With the nearest neighbours (Å) after each atom.
Atoms (fractional coordinates):
1 Ag 0.7507 0.7507 0.7507  6 Ag 2.79, 3 Pt 2.89, 3 Re 2.91
2 Pt 0.9984 0.9984 0.9984  9 Pt 2.79-2.87, 3 Ag 2.89
3 Re 0.5037 0.5037 0.5037  3 Pt 2.69, 6 Re 2.79, 3 Ag 2.91
4 Pt 0.2472 0.2472 0.2472  3 Re 2.69, 9 Pt 2.79-2.87

## Properties
The calculated density comes out at 17973 kg/m3. The energy above the most stable polymorph in this dataset comes out at 190 meV/atom. The space group is No. 160.

7.
Material: Re2AgPt
Method: DFT, PBE
State: relaxed

Unit cell a=5.0255 b=5.0255 c=5.0255 alpha=135.24 beta=135.24 gamma=65.15
With the nearest neighbours (Å) after each atom.
Atoms (fractional coordinates):
1 Re 0.0000 0.0000 0.0000  4 Re 2.71, 4 Pt 2.85, 4 Ag 2.85
2 Ag 0.2500 0.7500 0.5000  4 Pt 2.71, 8 Re 2.85
3 Re 0.5000 0.5000 0.0000  4 Re 2.71, 4 Pt 2.85, 4 Ag 2.85
4 Pt 0.7500 0.2500 0.5000  4 Ag 2.71, 8 Re 2.85

## Properties
The calculated density comes out at 18085 kg/m3. The energy above the most stable polymorph in this dataset comes out at 341 meV/atom. The space group is No. 139.

8.
Material: Re2AgPt
Method: DFT, PBE
State: relaxed

Unit cell a=4.7936 b=4.7936 c=4.7936 alpha=130.74 beta=130.74 gamma=72.23
With the nearest neighbours (Å) after each atom.
Atoms (fractional coordinates):
1 Re 0.2500 0.7500 0.5000  4 Re 2.78, 4 Ag 2.78, 4 Pt 2.83
2 Re 0.0000 0.0000 0.0000  4 Pt 2.78, 4 Re 2.78, 4 Ag 2.83
3 Pt 0.7500 0.2500 0.5000  8 Re 2.78-2.83, 4 Ag 2.78
4 Ag 0.5000 0.5000 0.0000  8 Re 2.78-2.83, 4 Pt 2.78

## Properties
The calculated density comes out at 18141 kg/m3. The energy above the most stable polymorph in this dataset comes out at 285 meV/atom. The space group is No. 119.

9.
Material: Re2AgPt
Method: DFT, PBE
State: relaxed

Unit cell a=9.5180 b=9.5180 c=9.5180 alpha=16.76 beta=16.76 gamma=16.76
With the nearest neighbours (Å) after each atom.
Atoms (fractional coordinates):
1 Re 0.0037 0.0037 0.0037  3 Pt 2.76, 6 Re 2.77, 3 Ag 2.93
2 Re 0.4963 0.4963 0.4963  3 Pt 2.76, 6 Re 2.77, 3 Ag 2.93
3 Pt 0.7500 0.7500 0.7500  6 Re 2.76, 6 Pt 2.77
4 Ag 0.2500 0.2500 0.2500  6 Ag 2.77, 6 Re 2.93

## Properties
The calculated density comes out at 17931 kg/m3. The energy above the most stable polymorph in this dataset comes out at 239 meV/atom. The space group is No. 166.

10.
Material: ReAgPt2
Method: DFT, PBE
State: relaxed

Unit cell a=2.7615 b=4.0459 c=5.6815 alpha=90.00 beta=90.00 gamma=90.00
With the nearest neighbours (Å) after each atom.
Atoms (fractional coordinates):
1 Pt 0.0000 0.0000 0.0002  2 Re 2.69-2.99, 6 Pt 2.76-2.90, 4 Ag 2.82
2 Re 0.0000 0.0000 0.4730  6 Pt 2.69-2.99, 2 Re 2.76, 4 Ag 2.93
3 Pt 0.5000 0.5000 0.2719  4 Re 2.70, 2 Ag 2.74-2.94, 6 Pt 2.76-2.90
4 Ag 0.5000 0.5000 0.7549  6 Pt 2.74-2.94, 2 Ag 2.76, 4 Re 2.93

## Properties
The calculated density comes out at 17900 kg/m3. The energy above the most stable polymorph in this dataset comes out at 286 meV/atom. The space group is No. 25.

11.
Material: ReAgPt2
Method: DFT, PBE
State: relaxed

Unit cell a=4.8632 b=4.8632 c=4.9421 alpha=81.81 beta=81.81 gamma=32.94
With the nearest neighbours (Å) after each atom.
Atoms (fractional coordinates):
1 Pt 0.7539 0.7539 0.7238  3 Re 2.69-2.74, 5 Pt 2.76-2.90, 4 Ag 2.78-2.88
2 Ag 0.2486 0.2486 0.2379  7 Pt 2.70-2.88, 2 Ag 2.76, 3 Re 2.88-2.92
3 Pt 0.0029 0.0029 0.0113  3 Ag 2.70-2.83, 5 Pt 2.76-2.90, 4 Re 2.77-2.89
4 Re 0.4946 0.4946 0.5270  7 Pt 2.69-2.89, 2 Re 2.76, 3 Ag 2.88-2.92

## Properties
The calculated density comes out at 18077 kg/m3. The energy above the most stable polymorph in this dataset comes out at 199 meV/atom. The space group is No. 8.

12.
Material: Re2AgPt
Method: DFT, PBE
State: relaxed

Unit cell a=2.7286 b=2.7286 c=9.5707 alpha=90.00 beta=90.00 gamma=116.18
With the nearest neighbours (Å) after each atom.
Atoms (fractional coordinates):
1 Ag 0.0000 0.0000 0.4996  6 Ag 2.73-2.88, 2 Pt 2.87, 2 Re 2.92
2 Pt 0.5000 0.5000 0.7585  6 Pt 2.73-2.88, 2 Re 2.78, 2 Ag 2.87
3 Re 0.5000 0.5000 0.2348  8 Re 2.61-2.88, 2 Ag 2.92
4 Re 0.0000 0.0000 0.0070  8 Re 2.61-2.88, 2 Pt 2.78

## Properties
The calculated density comes out at 17538 kg/m3. The energy above the most stable polymorph in this dataset comes out at 179 meV/atom. The space group is No. 35.